1.
The following is a GGA-PBE calculation of crystalline RbMgPbF5 at its relaxed geometry, from the Alexandria database.

Results
Its formation energy from raw total energies is -2855.0 meV per atom. The symmetry is No. 15. The calculation puts the density of states at the Fermi level at 0.000 states/eV per atom.

Structure (POSCAR):
```
RbMgPbF5
1.0
3.869 -5.177 0.000
3.869 5.177 0.000
-3.346 0.000 7.517
Rb Mg Pb F
2 2 2 10
direct
0.152 0.848 0.750 Rb
0.848 0.152 0.250 Rb
0.500 0.500 0.000 Mg
0.500 0.500 0.500 Mg
0.236 0.764 0.250 Pb
0.764 0.236 0.750 Pb
0.152 0.318 0.911 F
0.215 0.571 0.462 F
0.318 0.152 0.411 F
0.429 0.785 0.038 F
0.485 0.515 0.250 F
0.515 0.485 0.750 F
0.571 0.215 0.962 F
0.682 0.848 0.589 F
0.785 0.429 0.538 F
0.848 0.682 0.089 F
```

2.
The following is a GGA-PBE calculation of crystalline Rb3Mg2PbF9 at its relaxed geometry, from the Alexandria database.

Results
Its formation energy from raw total energies is -3001.0 meV per atom. The symmetry is No. 164. The calculation puts the density of states at the Fermi level at 0.000 states/eV per atom.

Structure (POSCAR):
```
Rb3Mg2PbF9
1.0
6.105 0.000 0.000
-3.053 5.287 0.000
0.000 0.000 7.664
Rb Mg Pb F
3 2 1 9
direct
0.000 0.000 0.000 Rb
0.333 0.667 0.681 Rb
0.667 0.333 0.319 Rb
0.333 0.667 0.147 Mg
0.667 0.333 0.853 Mg
0.000 0.000 0.500 Pb
0.000 0.500 0.000 F
0.180 0.361 0.304 F
0.180 0.820 0.304 F
0.361 0.180 0.696 F
0.500 0.000 0.000 F
0.500 0.500 0.000 F
0.639 0.820 0.304 F
0.820 0.180 0.696 F
0.820 0.639 0.696 F
```

3.
The following is a GGA-PBE calculation of crystalline Rb4Mg3PbF12 at its relaxed geometry, from the Alexandria database.

Results
Its formation energy from raw total energies is -3046.6 meV per atom. The symmetry is No. 229. The calculation puts the density of states at the Fermi level at 0.000 states/eV per atom.

Structure (POSCAR):
```
Rb4Mg3PbF12
1.0
-4.317 4.317 4.317
4.317 -4.317 4.317
4.317 4.317 -4.317
Rb Mg Pb F
4 3 1 12
direct
0.000 0.000 0.500 Rb
0.000 0.500 0.000 Rb
0.500 0.000 0.000 Rb
0.500 0.500 0.500 Rb
0.000 0.500 0.500 Mg
0.500 0.000 0.500 Mg
0.500 0.500 0.000 Mg
0.000 0.000 0.000 Pb
0.000 0.276 0.276 F
0.000 0.724 0.724 F
0.250 0.500 0.750 F
0.250 0.750 0.500 F
0.276 0.000 0.276 F
0.276 0.276 0.000 F
0.500 0.250 0.750 F
0.500 0.750 0.250 F
0.724 0.000 0.724 F
0.724 0.724 0.000 F
0.750 0.250 0.500 F
0.750 0.500 0.250 F
```

4.
The following is a GGA-PBE calculation of crystalline MgSnPbF6 at its relaxed geometry, from the Alexandria database.

Results
Its formation energy from raw total energies is -2653.1 meV per atom. The symmetry is No. 149. The calculation puts the density of states at the Fermi level at 0.000 states/eV per atom.

Structure (POSCAR):
```
MgSnPbF6
1.0
5.899 0.000 0.000
-2.949 5.109 0.000
0.000 0.000 5.016
Mg Sn Pb F
1 1 1 6
direct
0.000 0.000 0.000 Mg
0.333 0.667 0.500 Sn
0.667 0.333 0.000 Pb
0.016 0.296 0.227 F
0.016 0.720 0.773 F
0.280 0.296 0.773 F
0.280 0.984 0.227 F
0.704 0.720 0.227 F
0.704 0.984 0.773 F
```

5.
The following is a GGA-PBE calculation of crystalline Sr2MgPbF8 at its relaxed geometry, from the Alexandria database.

Results
Its formation energy from raw total energies is -3382.1 meV per atom. The symmetry is No. 10. The calculation puts the density of states at the Fermi level at 0.000 states/eV per atom.

Structure (POSCAR):
```
Sr2MgPbF8
1.0
4.229 0.000 0.000
0.000 7.907 0.000
-0.602 0.000 5.593
Sr Mg Pb F
2 1 1 8
direct
0.000 0.234 0.000 Sr
0.000 0.766 0.000 Sr
0.500 0.000 0.500 Mg
0.500 0.500 0.500 Pb
0.012 0.500 0.758 F
0.089 0.000 0.281 F
0.452 0.218 0.735 F
0.452 0.782 0.735 F
0.548 0.218 0.265 F
0.548 0.782 0.265 F
0.911 0.000 0.719 F
0.988 0.500 0.242 F
```

6.
The following is a GGA-PBE calculation of crystalline Sr2MgPbF at its relaxed geometry, from the Alexandria database.

Results
Its formation energy from raw total energies is -1241.6 meV per atom. The symmetry is No. 123. The calculation puts the density of states at the Fermi level at 0.310 states/eV per atom.

Structure (POSCAR):
```
Sr2MgPbF
1.0
5.327 0.000 0.000
0.000 5.327 0.000
0.000 0.000 4.851
Sr Mg Pb F
2 1 1 1
direct
0.000 0.500 0.000 Sr
0.500 0.000 0.000 Sr
0.000 0.000 0.500 Mg
0.500 0.500 0.500 Pb
0.000 0.000 0.000 F
```

7.
The following is a GGA-PBE calculation of crystalline SrMgPbF6 at its relaxed geometry, from the Alexandria database.

Results
Its formation energy from raw total energies is -3230.8 meV per atom. The symmetry is No. 102. The calculation puts the density of states at the Fermi level at 0.000 states/eV per atom.

Structure (POSCAR):
```
SrMgPbF6
1.0
5.317 0.000 0.000
0.000 5.317 0.000
0.000 0.000 10.822
Sr Mg Pb F
2 2 2 12
direct
0.000 0.000 0.000 Sr
0.500 0.500 0.500 Sr
0.000 0.000 0.665 Mg
0.500 0.500 0.165 Mg
0.000 0.000 0.330 Pb
0.500 0.500 0.830 Pb
0.176 0.176 0.809 F
0.181 0.181 0.524 F
0.227 0.227 0.163 F
0.273 0.727 0.663 F
0.319 0.681 0.024 F
0.324 0.676 0.309 F
0.676 0.324 0.309 F
0.681 0.319 0.024 F
0.727 0.273 0.663 F
0.773 0.773 0.163 F
0.819 0.819 0.524 F
0.824 0.824 0.809 F
```

8.
The following is a GGA-PBE calculation of crystalline MgTlPbF6 at its relaxed geometry, from the Alexandria database.

Results
Its formation energy from raw total energies is -2470.6 meV per atom. The symmetry is No. 163. The calculation puts the density of states at the Fermi level at 0.358 states/eV per atom.

Structure (POSCAR):
```
MgTlPbF6
1.0
5.984 0.000 0.000
-2.992 5.183 0.000
0.000 0.000 9.587
Mg Tl Pb F
2 2 2 12
direct
0.333 0.667 0.250 Mg
0.667 0.333 0.750 Mg
0.000 0.000 0.000 Tl
0.000 0.000 0.500 Tl
0.333 0.667 0.750 Pb
0.667 0.333 0.250 Pb
0.054 0.377 0.134 F
0.054 0.676 0.366 F
0.324 0.377 0.366 F
0.324 0.946 0.134 F
0.377 0.054 0.634 F
0.377 0.324 0.866 F
0.623 0.676 0.134 F
0.623 0.946 0.366 F
0.676 0.054 0.866 F
0.676 0.623 0.634 F
0.946 0.324 0.634 F
0.946 0.623 0.866 F
```

9.
The following is a GGA-PBE calculation of crystalline Mg2Tl3PbF9 at its relaxed geometry, from the Alexandria database.

Results
Its formation energy from raw total energies is -2585.4 meV per atom. The symmetry is No. 164. The calculation puts the density of states at the Fermi level at 0.000 states/eV per atom.

Structure (POSCAR):
```
Mg2Tl3PbF9
1.0
6.060 0.000 0.000
-3.030 5.248 0.000
0.000 0.000 7.837
Mg Tl Pb F
2 3 1 9
direct
0.333 0.667 0.150 Mg
0.667 0.333 0.850 Mg
0.000 0.000 0.000 Tl
0.333 0.667 0.700 Tl
0.667 0.333 0.300 Tl
0.000 0.000 0.500 Pb
0.000 0.500 0.000 F
0.178 0.355 0.295 F
0.178 0.822 0.295 F
0.355 0.178 0.705 F
0.500 0.000 0.000 F
0.500 0.500 0.000 F
0.645 0.822 0.295 F
0.822 0.178 0.705 F
0.822 0.645 0.705 F
```

10.
The following is a GGA-PBE calculation of crystalline MgTl2PbF6 at its relaxed geometry, from the Alexandria database.

Results
Its formation energy from raw total energies is -2396.0 meV per atom. The symmetry is No. 123. The calculation puts the density of states at the Fermi level at 0.000 states/eV per atom.

Structure (POSCAR):
```
MgTl2PbF6
1.0
4.611 0.000 0.000
0.000 4.611 0.000
0.000 0.000 8.883
Mg Tl Pb F
1 2 1 6
direct
0.000 0.000 0.000 Mg
0.500 0.500 0.220 Tl
0.500 0.500 0.780 Tl
0.000 0.000 0.500 Pb
0.000 0.000 0.214 F
0.000 0.000 0.786 F
0.000 0.500 0.000 F
0.000 0.500 0.500 F
0.500 0.000 0.000 F
0.500 0.000 0.500 F
```